Model A:
Entry from the Alexandria database: crystalline Nd6Sm12Mg at its relaxed geometry (PBE).

CIF file:
```
data_Nd6Sm12Mg
_symmetry_space_group_name_H-M 'R -3'
_symmetry_Int_Tables_number 148
_symmetry_space_group_name_Hall '-R 3'
_cell_length_a 12.1564
_cell_length_b 12.1564
_cell_length_c 15.2741
_cell_angle_alpha 90.00
_cell_angle_beta 90.00
_cell_angle_gamma 120.00
loop_
_atom_site_label
_atom_site_type_symbol
_atom_site_fract_x
_atom_site_fract_y
_atom_site_fract_z
Nd1 Nd 0.0160 0.5915 0.1871
Sm1 Sm 0.0038 0.8293 0.3124
Sm2 Sm 0.0476 0.1970 0.9162
Mg1 Mg 0.0000 0.0000 0.5000
```

=====

Model B:
Entry from the Alexandria database: crystalline Nd6Sm12Mg at its relaxed geometry (PBE).

CIF file:
```
data_Nd6Sm12Mg
_symmetry_space_group_name_H-M 'R -3 m'
_symmetry_Int_Tables_number 166
_symmetry_space_group_name_Hall '-R 3 2"'
_cell_length_a 13.2239
_cell_length_b 13.2239
_cell_length_c 13.1733
_cell_angle_alpha 90.00
_cell_angle_beta 90.00
_cell_angle_gamma 120.00
loop_
_atom_site_label
_atom_site_type_symbol
_atom_site_fract_x
_atom_site_fract_y
_atom_site_fract_z
Nd1 Nd 0.0908 0.1815 0.2744
Sm1 Sm 0.0000 0.2619 0.5000
Sm2 Sm 0.0580 0.5290 0.6120
Mg1 Mg 0.0000 0.0000 0.5000
```

=====

Stability, lowest: model B